Record 1
An optimized crystal structure of CdN2F8. Source: Alexandria, functional PBE.

The structure belongs to space group C2/m (No. 12); the cell edges are 8.243, 7.493 and 6.659 Å and the angles 90.00°, 110.59° and 90.00°. Symmetry generates all atoms from Cd at (0.000, 0.000, 0.000), N at (0.220, 0.000, 0.575), F at (0.101, 0.500, 0.340), F at (0.178, 0.147, 0.683) and F at (0.246, 0.500, 0.861).

As for the final energy: -40.891 eV/f.u. The total magnetization comes out at 0.126 μB per formula unit.



Record 2
An optimized crystal structure of KLaGe3. Source: Alexandria, functional PBE.

The structure belongs to space group Pm-3m (No. 221); the cell edges are 5.299, 5.299 and 5.299 Å and the angles 90.00°, 90.00° and 90.00°. Symmetry generates all atoms from K at (0.000, 0.000, 0.000), La at (0.500, 0.500, 0.500) and Ge at (0.000, 0.000, 0.500).

For the energy of formation, the calculation gives 3.986 eV/f.u. As for the energy above the most stable polymorph in this dataset: 0.3788 eV/atom. The total magnetization comes out at 0.000 μB per formula unit.



Record 3
An optimized crystal structure of Zn4GaCu4. Source: Alexandria, functional PBE.

The structure belongs to space group I4/mmm (No. 139); the cell edges are 7.858, 7.858 and 3.914 Å and the angles 90.00°, 90.00° and 90.00°. Symmetry generates all atoms from Zn at (0.170, 0.170, 0.000), Ga at (0.000, 0.000, 0.500) and Cu at (0.000, 0.336, 0.500).

For the energy of formation, the calculation gives -0.348 eV/f.u. The total magnetization comes out at 0.000 μB per formula unit.



Record 4
An optimized crystal structure of Rb3Tb2SmTe6. Source: Alexandria, functional PBE.

The structure belongs to space group C2/m (No. 12); the cell edges are 7.901, 13.687 and 8.956 Å and the angles 90.00°, 107.10° and 90.00°. Symmetry generates all atoms from Rb at (0.000, 0.000, 0.000), Rb at (0.000, 0.334, 0.000), Tb at (0.000, 0.167, 0.500), Sm at (0.000, 0.500, 0.500), Te at (0.230, 0.000, 0.701) and Te at (0.236, 0.332, 0.701).

As for the final energy: -52.467 eV/f.u. The total magnetization comes out at 0.000 μB per formula unit.



Record 5
An optimized crystal structure of Tb4Nd5Dy2. Source: Alexandria, functional PBE.

The structure belongs to space group C2/m (No. 12); the cell edges are 17.783, 3.563 and 11.683 Å and the angles 90.00°, 94.01° and 90.00°. Symmetry generates all atoms from Tb at (0.036, 0.000, 0.261), Tb at (0.141, 0.500, 0.795), Nd at (0.000, 0.500, 0.000), Nd at (0.097, 0.000, 0.536), Nd at (0.177, 0.000, 0.071) and Dy at (0.216, 0.500, 0.354).

For the energy of formation, the calculation gives 0.808 eV/f.u. As for the energy above the most stable polymorph in this dataset: 0.0000 eV/atom. The total magnetization comes out at 0.000 μB per formula unit.



Record 6
An optimized crystal structure of Nd2GaSe. Source: Alexandria, functional PBE.

The structure belongs to space group Cmcm (No. 63); the cell edges are 4.388, 23.407 and 4.176 Å and the angles 90.00°, 90.00° and 90.00°. Symmetry generates all atoms from Nd at (0.000, 0.066, 0.250), Nd at (0.000, 0.319, 0.250), Ga at (0.000, 0.462, 0.250) and Se at (0.000, 0.192, 0.250).

As for the energy above the most stable polymorph in this dataset: 0.0000 eV/atom. The total magnetization comes out at 0.000 μB per formula unit.



Record 7
An optimized crystal structure of TlRhI2. Source: Alexandria, functional PBE.

The structure belongs to space group I-42d (No. 122); the cell edges are 7.017, 7.017 and 13.242 Å and the angles 90.00°, 90.00° and 90.00°. Symmetry generates all atoms from Tl at (0.000, 0.000, 0.000), Rh at (0.000, 0.000, 0.500) and I at (0.151, 0.250, 0.625).

As for the energy above the most stable polymorph in this dataset: 0.0497 eV/atom. The total magnetization comes out at 0.000 μB per formula unit.



Record 8
An optimized crystal structure of SrLaAu2. Source: Alexandria, functional PBE.

The structure belongs to space group P4/mmm (No. 123); the cell edges are 3.824, 3.824 and 7.640 Å and the angles 90.00°, 90.00° and 90.00°. Symmetry generates all atoms from Sr at (0.000, 0.000, 0.000), La at (0.000, 0.000, 0.500) and Au at (0.500, 0.500, 0.275).

For the energy of formation, the calculation gives -3.125 eV/f.u. The total magnetization comes out at 0.000 μB per formula unit.



Record 9
An optimized crystal structure of HfMgCdC2. Source: Alexandria, functional PBE.

The structure belongs to space group P4/mmm (No. 123); the cell edges are 4.285, 4.285 and 5.833 Å and the angles 90.00°, 90.00° and 90.00°. Symmetry generates all atoms from Hf at (0.000, 0.000, 0.000), Mg at (0.000, 0.000, 0.500), Cd at (0.500, 0.500, 0.500) and C at (0.000, 0.500, 0.000).

For the energy of formation, the calculation gives 7.597 eV/f.u. The total magnetization comes out at 0.000 μB per formula unit.



Record 10
An optimized crystal structure of CsLiCd2Ga. Source: Alexandria, functional PBE.

The structure belongs to space group P4/mmm (No. 123); the cell edges are 5.485, 5.485 and 5.493 Å and the angles 90.00°, 90.00° and 90.00°. Symmetry generates all atoms from Cs at (0.000, 0.000, 0.000), Li at (0.500, 0.500, 0.000), Cd at (0.000, 0.500, 0.500) and Ga at (0.500, 0.500, 0.500).

For the energy of formation, the calculation gives -0.064 eV/f.u. The total magnetization comes out at 0.000 μB per formula unit.



Record 11
An optimized crystal structure of KCaCo2. Source: Alexandria, functional PBE.

The structure belongs to space group I4/mmm (No. 139); the cell edges are 4.358, 4.358 and 9.019 Å and the angles 90.00°, 90.00° and 90.00°. Symmetry generates all atoms from K at (0.000, 0.000, 0.000), Ca at (0.000, 0.000, 0.500) and Co at (0.000, 0.500, 0.250).

For the energy of formation, the calculation gives 4.280 eV/f.u. As for the energy above the most stable polymorph in this dataset: 0.7460 eV/atom. The total magnetization comes out at 2.547 μB per formula unit.



Record 12
An optimized crystal structure of AlCuPt6. Source: Alexandria, functional PBE.

The structure belongs to space group P4/mmm (No. 123); the cell edges are 3.923, 3.923 and 7.790 Å and the angles 90.00°, 90.00° and 90.00°. Symmetry generates all atoms from Al at (0.000, 0.000, 0.000), Cu at (0.000, 0.000, 0.500), Pt at (0.000, 0.500, 0.249), Pt at (0.500, 0.500, 0.000) and Pt at (0.500, 0.500, 0.500).

For the energy of formation, the calculation gives -3.165 eV/f.u. As for the energy above the most stable polymorph in this dataset: 0.0000 eV/atom. The total magnetization comes out at 0.000 μB per formula unit.



Record 13
An optimized crystal structure of CdH2Br. Source: Alexandria, functional PBE.

The structure belongs to space group P1 (No. 1); the cell edges are 3.754, 4.001 and 5.161 Å and the angles 89.92°, 88.89° and 89.92°. Symmetry generates all atoms from Cd at (0.000, 0.000, 0.000), H at (0.001, 0.320, 0.713), H at (0.500, 0.958, 0.971) and Br at (0.991, 0.508, 0.411).

As for the energy above the most stable polymorph in this dataset: 0.4411 eV/atom. The total magnetization comes out at 0.000 μB per formula unit.



Record 14
An optimized crystal structure of YErBePd. Source: Alexandria, functional PBE.

The structure belongs to space group F-43m (No. 216); the cell edges are 6.931, 6.931 and 6.931 Å and the angles 90.00°, 90.00° and 90.00°. Symmetry generates all atoms from Y at (0.000, 0.000, 0.000), Er at (0.000, 0.000, 0.500), Be at (0.250, 0.250, 0.750) and Pd at (0.250, 0.250, 0.250).

For the energy of formation, the calculation gives -1.484 eV/f.u. The total magnetization comes out at 0.000 μB per formula unit.



Record 15
An optimized crystal structure of La4AsAu. Source: Alexandria, functional PBE.

The structure belongs to space group F-43m (No. 216); the cell edges are 8.910, 8.910 and 8.910 Å and the angles 90.00°, 90.00° and 90.00°. Symmetry generates all atoms from La at (0.123, 0.123, 0.123), As at (0.250, 0.250, 0.750) and Au at (0.000, 0.000, 0.500).

For the energy of formation, the calculation gives 0.514 eV/f.u. The total magnetization comes out at 0.001 μB per formula unit.



Record 16
An optimized crystal structure of ReSbN2F. Source: Alexandria, functional PBE.

The structure belongs to space group P4/mmm (No. 123); the cell edges are 4.157, 4.157 and 4.084 Å and the angles 90.00°, 90.00° and 90.00°. Symmetry generates all atoms from Re at (0.000, 0.000, 0.000), Sb at (0.500, 0.500, 0.500), N at (0.000, 0.500, 0.500) and F at (0.500, 0.500, 0.000).

As for the energy above the most stable polymorph in this dataset: 1.1462 eV/atom. The total magnetization comes out at 4.472 μB per formula unit.



Record 17
An optimized crystal structure of RbPRhAu. Source: Alexandria, functional PBE.

The structure belongs to space group P4/nmm (No. 129, origin choice 2); the cell edges are 3.937, 3.937 and 12.696 Å and the angles 90.00°, 90.00° and 90.00°. Symmetry generates all atoms from Rb at (0.250, 0.250, 0.231), P at (0.250, 0.250, 0.601), Rh at (0.250, 0.750, 0.500) and Au at (0.250, 0.750, 0.000).

For the energy of formation, the calculation gives -2.139 eV/f.u. The total magnetization comes out at 0.000 μB per formula unit.



Record 18
An optimized crystal structure of Ac12MgRh7. Source: Alexandria, functional PBE.

The structure belongs to space group R-3 (No. 148, hexagonal axes); the cell edges are 15.7923, 15.7923 and 9.2650 Å and the angles 90.00°, 90.00° and 120.00°. Symmetry generates all atoms from Ac at (0.0078, 0.4318, 0.3278), Ac at (0.0422, 0.1623, 0.2845), Mg at (0.0000, 0.0000, 0.0000), Rh at (0.0000, 0.0000, 0.5000) and Rh at (0.0473, 0.1850, 0.9087).

For the energy of formation, the calculation gives -10.435 eV/f.u. The total magnetization comes out at 0.000 μB per formula unit.



Record 19
An optimized crystal structure of CePuGe. Source: Alexandria, functional PBE.

The structure belongs to space group P-3m1 (No. 164); the cell edges are 3.5967, 3.5967 and 11.3745 Å and the angles 90.00°, 90.00° and 120.00°. Symmetry generates all atoms from Ce at (0.3333, 0.6667, 0.4095), Pu at (0.3333, 0.6667, 0.9459) and Ge at (0.0000, 0.0000, 0.2280).

For the energy of formation, the calculation gives -0.539 eV/f.u. As for the energy above the most stable polymorph in this dataset: 0.0923 eV/atom. The total magnetization comes out at 0.002 μB per formula unit.



Record 20
An optimized crystal structure of BiAsC. Source: Alexandria, functional PBE.

The structure belongs to space group Pm (No. 6); the cell edges are 3.158, 3.427 and 6.204 Å and the angles 90.00°, 90.58° and 90.00°. Symmetry generates all atoms from Bi at (0.000, 0.000, 0.000), As at (0.509, 0.500, 0.453) and C at (0.006, 0.500, 0.260).

For the energy of formation, the calculation gives 2.327 eV/f.u. As for the energy above the most stable polymorph in this dataset: 0.2668 eV/atom. The total magnetization comes out at 0.000 μB per formula unit.